(1)
Here is a relaxed Nd2GdMg3AgPd2 crystal from the Open Quantum Materials Database. Energies are from GGA-PBE.

space group = No. 38

POSCAR file:
```
Nd2GdMg3AgPd2
1.0
4.112 0.000 0.000
0.000 6.622 3.831
0.000 -6.622 3.831
Nd Gd Mg Ag Pd
2 1 3 1 2
direct
0.000 0.210 0.790 Nd
0.000 0.790 0.210 Nd
0.000 0.628 0.628 Gd
0.500 0.212 0.458 Mg
0.500 0.458 0.212 Mg
0.500 0.961 0.961 Mg
0.000 0.213 0.213 Ag
0.500 0.545 0.871 Pd
0.500 0.871 0.545 Pd
```



(2)
Here is a relaxed Nd2GdMg3AgPt2 crystal from the Open Quantum Materials Database. Energies are from GGA-PBE.

space group = No. 38

POSCAR file:
```
Nd2GdMg3AgPt2
1.0
4.095 0.000 0.000
0.000 6.605 3.832
0.000 -6.605 3.832
Nd Gd Mg Ag Pt
2 1 3 1 2
direct
0.000 0.210 0.790 Nd
0.000 0.790 0.210 Nd
0.000 0.370 0.370 Gd
0.500 0.041 0.041 Mg
0.500 0.540 0.788 Mg
0.500 0.788 0.540 Mg
0.000 0.786 0.786 Ag
0.500 0.129 0.455 Pt
0.500 0.455 0.129 Pt
```



(3)
Here is a relaxed Gd2Mg4NiAg crystal from the Open Quantum Materials Database. Energies are from GGA-PBE.

space group = No. 38

POSCAR file:
```
Gd2Mg4NiAg
1.0
8.161 0.000 0.000
0.000 2.798 5.395
0.000 -2.798 5.395
Gd Mg Ni Ag
2 4 1 1
direct
0.000 0.000 0.000 Gd
0.000 0.462 0.462 Gd
0.315 0.175 0.175 Mg
0.322 0.840 0.840 Mg
0.678 0.840 0.840 Mg
0.685 0.175 0.175 Mg
0.000 0.231 0.231 Ni
0.000 0.730 0.730 Ag
```



| no. | E (eV per atom) |
| --- | --- |
| 1 | -4.0919 |
| 2 | -4.4568 |
| 3 | -2.4946 |